No. 1
Computed, not measured: Tb3Al4Ni4 after structural relaxation at the PBE level of DFT.

Output
energy = -5.169 eV per atom
V = 18.524 Å³ per atom
space-group type = No. 217
magnetic moment = 0.000 μB/cell

Lattice parameters (Å, degrees): 6.4207 6.4207 6.4207 109.47 109.47 109.47
With the nearest neighbours (Å) after each atom.
Element x y z (fractional)
Tb 0.5000 0.5000 0.0000  4 Ni 3.04, 4 Al 3.06
Tb 0.5000 0.0000 0.5000  4 Ni 3.04, 4 Al 3.06
Tb 0.0000 0.5000 0.5000  4 Ni 3.04, 4 Al 3.06
Al 0.0000 0.2664 0.0000  4 Ni 2.31-2.44
Al 0.0000 0.0000 0.2664  4 Ni 2.31-2.44
Al 0.2664 0.0000 0.0000  4 Ni 2.31-2.44
Al 0.7336 0.7336 0.7336  4 Ni 2.31-2.44
Ni 0.0000 0.6264 0.0000  4 Al 2.31-2.44
Ni 0.6264 0.0000 0.0000  4 Al 2.31-2.44
Ni 0.0000 0.0000 0.6264  4 Al 2.31-2.44
Ni 0.3736 0.3736 0.3736  4 Al 2.31-2.44

No. 2
Computed, not measured: PaAgIrPd after structural relaxation at the PBE level of DFT.

Output
energy = -6.978 eV per atom
V = 18.941 Å³ per atom
space-group type = No. 216
magnetic moment = 0.000 μB/cell

Lattice parameters (Å, degrees): 4.7496 4.7496 4.7496 60.00 60.00 60.00
With the nearest neighbours (Å) after each atom.
Element x y z (fractional)
Pa 0.7500 0.7500 0.7500  4 Ir 2.91, 4 Pd 2.91
Pd 0.0000 0.0000 0.0000  4 Pa 2.91, 4 Ag 2.91
Ag 0.2500 0.2500 0.2500  4 Ir 2.91, 4 Pd 2.91
Ir 0.5000 0.5000 0.5000  4 Pa 2.91, 4 Ag 2.91

Number 1 is which compound? Tb3Al4Ni4